Record 1
VASP calculation (PBE) on a geometry-optimized Nd2Sm2CIBr4 structure.

As for the total energy: -5.02 eV per atom.

Unit cell a=9.3588 b=9.3588 c=8.8265 alpha=103.01 beta=103.01 gamma=24.61
Closest atoms and distances in Å follow each position.
Fractional positions:
I1 0.5000 0.5000 0.5000  4 Nd 3.34
Br1 0.8345 0.8345 0.6793  2 Sm 2.93, 1 Nd 3.00
Br2 0.1719 0.1719 0.8455  2 Sm 2.97, 1 Nd 3.05
Br3 0.1655 0.1655 0.3207  2 Sm 2.93, 1 Nd 3.00
Br4 0.8281 0.8281 0.1545  2 Sm 2.97, 1 Nd 3.05
Sm1 0.6393 0.6393 0.0713  1 C 2.48
Sm2 0.3607 0.3607 0.9287  1 C 2.48
Nd1 0.9986 0.9986 0.1954  2 C 2.64
Nd2 0.0014 0.0014 0.8046  2 C 2.64
C1 0.5000 0.5000 0.0000  2 Sm 2.48, 4 Nd 2.64

Record 2
VASP calculation (PBE) on a geometry-optimized PrReNO structure.

The relative energy among the computed polymorphs is 9 meV/atom.

Unit cell a=3.8623 b=5.1896 c=5.4726 alpha=90.00 beta=90.00 gamma=90.00
Closest atoms and distances in Å follow each position.
Fractional positions:
Pr1 0.0000 0.5012 0.2098  3 N 2.55-2.67, 4 O 2.59-2.60
Pr2 0.0000 0.0012 0.7902  3 N 2.55-2.67, 4 O 2.59-2.60
N1 0.0000 0.5009 0.6759  2 Re 1.93
N2 0.0000 0.0009 0.3241  2 Re 1.93
Re1 0.5000 0.0009 0.3293  2 N 1.93
Re2 0.5000 0.5009 0.6707  2 N 1.93
O1 0.5000 0.7509 0.0003  2 Re 2.22
O2 0.5000 0.2509 0.9997  2 Re 2.22

Record 3
VASP calculation (PBE) on a geometry-optimized ThZrAs structure.

As for the total energy: -6.67 eV per atom.

Unit cell a=4.7531 b=4.7531 c=4.7531 alpha=60.00 beta=60.00 gamma=60.00
Closest atoms and distances in Å follow each position.
Fractional positions:
Th1 0.7500 0.7500 0.7500  4 Zr 2.91
Zr1 0.0000 0.0000 0.0000  4 As 2.91, 4 Th 2.91
As1 0.2500 0.2500 0.2500  4 Zr 2.91

Record 4
VASP calculation (PBE) on a geometry-optimized Rb2Hg2O5 structure.

The relative energy among the computed polymorphs is 0 meV/atom.

Unit cell a=9.3073 b=4.1485 c=4.1485 alpha=90.00 beta=90.00 gamma=90.00
Closest atoms and distances in Å follow each position.
Fractional positions:
Rb1 0.0000 0.0000 0.0000  8 O 2.91
Rb2 0.5000 0.0000 0.0000  4 O 2.93
O1 0.2188 0.5000 0.0000  2 Hg 2.12
O2 0.2188 0.0000 0.5000  2 Hg 2.12
O3 0.5000 0.5000 0.5000  2 Hg 2.18
O4 0.7812 0.0000 0.5000  2 Hg 2.12
O5 0.7812 0.5000 0.0000  2 Hg 2.12
Hg1 0.2660 0.5000 0.5000  5 O 2.12-2.18
Hg2 0.7340 0.5000 0.5000  5 O 2.12-2.18

Record 5
VASP calculation (PBE) on a geometry-optimized NaBeNiSb structure.

The relative energy among the computed polymorphs is 8 meV/atom.

Unit cell a=4.4464 b=4.4464 c=4.4464 alpha=60.00 beta=60.00 gamma=60.00
Closest atoms and distances in Å follow each position.
Fractional positions:
Na1 0.5000 0.5000 0.5000  4 Ni 2.72, 4 Be 2.72
Sb1 0.0000 0.0000 0.0000  4 Be 2.72, 4 Ni 2.72
Be1 0.7500 0.7500 0.7500  4 Sb 2.72, 4 Na 2.72
Ni1 0.2500 0.2500 0.2500  4 Na 2.72, 4 Sb 2.72

Record 6
VASP calculation (PBE) on a geometry-optimized PrHfB structure.

The relative energy among the computed polymorphs is 0 meV/atom.

Unit cell a=4.4384 b=4.4384 c=4.4384 alpha=60.00 beta=60.00 gamma=60.00
Closest atoms and distances in Å follow each position.
Fractional positions:
Pr1 0.7500 0.7500 0.7500  4 B 2.72
B1 0.0000 0.0000 0.0000  4 Hf 2.72, 4 Pr 2.72
Hf1 0.2500 0.2500 0.2500  4 B 2.72

Record 7
VASP calculation (PBE) on a geometry-optimized ScZnPd structure.

Its formation enthalpy at 0 K is -70 kJ per mole of atoms.

Unit cell a=5.0469 b=5.0469 c=5.3010 alpha=90.00 beta=90.00 gamma=129.33
Closest atoms and distances in Å follow each position.
Fractional positions:
Pd1 0.4023 0.5977 0.2500  4 Zn 2.69, 5 Sc 2.77-2.83
Pd2 0.5977 0.4023 0.7500  4 Zn 2.69, 5 Sc 2.77-2.83
Sc1 0.7061 0.2939 0.2500  5 Pd 2.77-2.83, 2 Zn 2.99
Sc2 0.2939 0.7061 0.7500  5 Pd 2.77-2.83, 2 Zn 2.99
Zn1 0.0000 0.0000 0.5000  2 Zn 2.65, 4 Pd 2.69
Zn2 0.0000 0.0000 0.0000  2 Zn 2.65, 4 Pd 2.69

Record 8
VASP calculation (PBE) on a geometry-optimized NaNbTe3Pt structure.

As for the total energy: -5.00 eV per atom.

Unit cell a=8.3192 b=3.8547 c=10.3305 alpha=90.00 beta=110.74 gamma=90.00
Closest atoms and distances in Å follow each position.
Fractional positions:
Te1 0.2712 0.2500 0.5493  1 Nb 2.74, 3 Pt 2.74-2.79
Te2 0.9332 0.2500 0.1334  1 Pt 2.65, 2 Nb 2.81
Te3 0.7288 0.7500 0.4507  1 Nb 2.74, 3 Pt 2.74-2.79
Te4 0.5636 0.7500 0.8777  3 Nb 2.91-2.95
Te5 0.4364 0.2500 0.1223  3 Nb 2.91-2.95
Te6 0.0668 0.7500 0.8666  1 Pt 2.65, 2 Nb 2.81
Pt1 0.0777 0.7500 0.6136  4 Te 2.65-2.79, 2 Nb 2.92, 2 Pt 2.96
Pt2 0.9223 0.2500 0.3864  4 Te 2.65-2.79, 2 Nb 2.92, 2 Pt 2.96
Na1 0.7374 0.2500 0.7075  7 Te 3.26-3.64
Na2 0.2626 0.7500 0.2925  7 Te 3.26-3.64
Nb1 0.2840 0.2500 0.8176  6 Te 2.74-2.95, 2 Pt 2.92
Nb2 0.7160 0.7500 0.1824  6 Te 2.74-2.95, 2 Pt 2.92

In Å³/cell, the calculated volume values for the records above are, in order, 313.2; 109.7; 75.9; 160.2; 62.2; 61.8; 104.4; 309.8.